Ga3Au | PBE | relaxed

Unit cell a=4.241 b=4.241 c=8.180 alpha=90.00 beta=90.00 gamma=90.00
Space group I4/mmm (No. 139)
One atom of each set of equivalent atoms:
Ga  0.000  0.000  0.000 (multiplicity 2)
Ga  0.000  0.500  0.250 (multiplicity 4)
Au  0.000  0.000  0.500 (multiplicity 2)

E above lowest polymorph: 84 meV/atom
theoretical density: 9.169 Mg/m³
ΔH_f (0 K): -0.67 kcal/mol of atoms
N(E_F): 1.71 states/eV/f.u.

Ga5Au2 | PBE | relaxed

Unit cell a=13.725 b=6.250 c=6.643 alpha=90.00 beta=103.87 gamma=90.00
Space group C2/c (No. 15)
One atom of each set of equivalent atoms:
Ga  0.000  0.075  0.250 (multiplicity 4)
Ga  0.086  0.365  0.962 (multiplicity 8)
Ga  0.201  0.144  0.265 (multiplicity 8)
Au  0.115  0.237  0.598 (multiplicity 8)

theoretical density: 8.915 Mg/m³
ΔH_f (0 K): -3.06 kcal/mol of atoms
N(E_F): 2.14 states/eV/f.u.

Ga3Au | PBE | relaxed

Unit cell a=11.693 b=11.693 c=4.476 alpha=90.00 beta=90.00 gamma=90.00
Space group P4_2/n (No. 86, origin choice 2)
One atom of each set of equivalent atoms:
Ga  0.012  0.573  0.212 (multiplicity 8)
Ga  0.124  0.265  0.478 (multiplicity 8)
Ga  0.139  0.701  0.668 (multiplicity 8)
Au  0.013  0.197  0.976 (multiplicity 8)

E above lowest polymorph: 0 meV/atom
theoretical density: 8.815 Mg/m³
ΔH_f (0 K): -2.62 kcal/mol of atoms
N(E_F): 1.12 states/eV/f.u.

GdGa4Au | PBE | relaxed

Unit cell a=7.789 b=7.789 c=7.789 alpha=90.00 beta=90.00 gamma=90.00
Space group F-43m (No. 216)
One atom of each set of equivalent atoms:
Gd  0.000  0.000  0.000 (multiplicity 4)
Ga  0.125  0.125  0.375 (multiplicity 16)
Au  0.250  0.250  0.750 (multiplicity 4)

theoretical density: 8.898 Mg/m³
ΔH_f (0 K): -5.81 kcal/mol of atoms
N(E_F): 3.02 states/eV/f.u.

GdGa2Au | PBE | relaxed

Unit cell a=4.3612 b=4.3612 c=15.2060 alpha=90.00 beta=90.00 gamma=120.00
Space group R-3m (No. 166, hexagonal axes)
One atom of each set of equivalent atoms:
Gd  0.0000  0.0000  0.0000 (multiplicity 3)
Ga  0.0000  0.0000  0.2218 (multiplicity 6)
Au  0.0000  0.0000  0.5000 (multiplicity 3)

theoretical density: 9.819 Mg/m³
ΔH_f (0 K): -13.52 kcal/mol of atoms
N(E_F): 1.93 states/eV/f.u.

GdGa2Au | PBE | relaxed

Unit cell a=4.329 b=4.329 c=4.337 alpha=90.00 beta=90.00 gamma=90.00
Space group P4/mmm (No. 123)
One atom of each set of equivalent atoms:
Gd  0.000  0.000  0.000 (multiplicity 1)
Ga  0.000  0.500  0.500 (multiplicity 2)
Au  0.500  0.500  0.000 (multiplicity 1)

theoretical density: 10.085 Mg/m³
ΔH_f (0 K): -12.61 kcal/mol of atoms
N(E_F): 1.42 states/eV/f.u.

GdGa2Au | PBE | relaxed

Unit cell a=6.830 b=6.830 c=6.830 alpha=90.00 beta=90.00 gamma=90.00
Space group Fm-3m (No. 225)
One atom of each set of equivalent atoms:
Gd  0.000  0.000  0.000 (multiplicity 4)
Ga  0.250  0.250  0.250 (multiplicity 8)
Au  0.000  0.000  0.500 (multiplicity 4)

theoretical density: 10.291 Mg/m³
ΔH_f (0 K): -10.71 kcal/mol of atoms
N(E_F): 1.34 states/eV/f.u.

GdLuGaAu | PBE | relaxed

Unit cell a=7.179 b=7.179 c=7.179 alpha=90.00 beta=90.00 gamma=90.00
Space group F-43m (No. 216)
One atom of each set of equivalent atoms:
Gd  0.000  0.000  0.000 (multiplicity 4)
Lu  0.000  0.000  0.500 (multiplicity 4)
Ga  0.250  0.250  0.250 (multiplicity 4)
Au  0.250  0.250  0.750 (multiplicity 4)

theoretical density: 10.754 Mg/m³
ΔH_f (0 K): -16.04 kcal/mol of atoms
N(E_F): 2.53 states/eV/f.u.

GdMgGaAu | PBE | relaxed

Unit cell a=6.963 b=6.963 c=6.963 alpha=90.00 beta=90.00 gamma=90.00
Space group F-43m (No. 216)
One atom of each set of equivalent atoms:
Gd  0.000  0.000  0.000 (multiplicity 4)
Mg  0.000  0.000  0.500 (multiplicity 4)
Ga  0.250  0.250  0.750 (multiplicity 4)
Au  0.250  0.250  0.250 (multiplicity 4)

theoretical density: 8.818 Mg/m³
ΔH_f (0 K): -14.28 kcal/mol of atoms
N(E_F): 2.91 states/eV/f.u.

NaGdGaAu | PBE | relaxed

Unit cell a=7.106 b=7.106 c=7.106 alpha=90.00 beta=90.00 gamma=90.00
Space group F-43m (No. 216)
One atom of each set of equivalent atoms:
Na  0.000  0.000  0.000 (multiplicity 4)
Gd  0.000  0.000  0.500 (multiplicity 4)
Ga  0.250  0.250  0.250 (multiplicity 4)
Au  0.250  0.250  0.750 (multiplicity 4)

theoretical density: 8.273 Mg/m³
ΔH_f (0 K): -9.61 kcal/mol of atoms
N(E_F): 1.72 states/eV/f.u.

GdGaPbAu | PBE | relaxed

Unit cell a=7.240 b=7.240 c=7.240 alpha=90.00 beta=90.00 gamma=90.00
Space group F-43m (No. 216)
One atom of each set of equivalent atoms:
Gd  0.000  0.000  0.000 (multiplicity 4)
Ga  0.250  0.250  0.250 (multiplicity 4)
Pb  0.000  0.000  0.500 (multiplicity 4)
Au  0.250  0.250  0.750 (multiplicity 4)

theoretical density: 11.047 Mg/m³
ΔH_f (0 K): -9.23 kcal/mol of atoms
N(E_F): 2.56 states/eV/f.u.

GdGaPdAu | PBE | relaxed

Unit cell a=6.804 b=6.804 c=6.804 alpha=90.00 beta=90.00 gamma=90.00
Space group F-43m (No. 216)
One atom of each set of equivalent atoms:
Gd  0.000  0.000  0.000 (multiplicity 4)
Ga  0.000  0.000  0.500 (multiplicity 4)
Pd  0.250  0.250  0.250 (multiplicity 4)
Au  0.250  0.250  0.750 (multiplicity 4)

theoretical density: 11.186 Mg/m³
ΔH_f (0 K): -15.51 kcal/mol of atoms
N(E_F): 1.95 states/eV/f.u.

PrGdGaAu | PBE | relaxed

Unit cell a=7.393 b=7.393 c=7.393 alpha=90.00 beta=90.00 gamma=90.00
Space group F-43m (No. 216)
One atom of each set of equivalent atoms:
Pr  0.000  0.000  0.000 (multiplicity 4)
Gd  0.000  0.000  0.500 (multiplicity 4)
Ga  0.250  0.250  0.750 (multiplicity 4)
Au  0.250  0.250  0.250 (multiplicity 4)

theoretical density: 9.284 Mg/m³
ΔH_f (0 K): -14.87 kcal/mol of atoms
N(E_F): 4.66 states/eV/f.u.

GdPuGaAu | PBE | relaxed

Unit cell a=7.291 b=7.291 c=7.291 alpha=90.00 beta=90.00 gamma=90.00
Space group F-43m (No. 216)
One atom of each set of equivalent atoms:
Gd  0.000  0.000  0.000 (multiplicity 4)
Pu  0.000  0.000  0.500 (multiplicity 4)
Ga  0.250  0.250  0.750 (multiplicity 4)
Au  0.250  0.250  0.250 (multiplicity 4)

theoretical density: 11.446 Mg/m³
ΔH_f (0 K): -10.76 kcal/mol of atoms
N(E_F): 9.84 states/eV/f.u.

GdGaRhAu | PBE | relaxed

Unit cell a=6.723 b=6.723 c=6.723 alpha=90.00 beta=90.00 gamma=90.00
Space group F-43m (No. 216)
One atom of each set of equivalent atoms:
Gd  0.000  0.000  0.000 (multiplicity 4)
Ga  0.000  0.000  0.500 (multiplicity 4)
Rh  0.250  0.250  0.750 (multiplicity 4)
Au  0.250  0.250  0.250 (multiplicity 4)

theoretical density: 11.517 Mg/m³
ΔH_f (0 K): -12.93 kcal/mol of atoms
N(E_F): 3.32 states/eV/f.u.

SmGdGaAu | PBE | relaxed

Unit cell a=7.318 b=7.318 c=7.318 alpha=90.00 beta=90.00 gamma=90.00
Space group F-43m (No. 216)
One atom of each set of equivalent atoms:
Sm  0.000  0.000  0.000 (multiplicity 4)
Gd  0.000  0.000  0.500 (multiplicity 4)
Ga  0.250  0.250  0.250 (multiplicity 4)
Au  0.250  0.250  0.750 (multiplicity 4)

theoretical density: 9.735 Mg/m³
ΔH_f (0 K): -15.42 kcal/mol of atoms
N(E_F): 4.39 states/eV/f.u.

GdGaSnAu | PBE | relaxed

Unit cell a=7.121 b=7.121 c=7.121 alpha=90.00 beta=90.00 gamma=90.00
Space group F-43m (No. 216)
One atom of each set of equivalent atoms:
Gd  0.000  0.000  0.000 (multiplicity 4)
Ga  0.250  0.250  0.750 (multiplicity 4)
Sn  0.000  0.000  0.500 (multiplicity 4)
Au  0.250  0.250  0.250 (multiplicity 4)

theoretical density: 9.981 Mg/m³
ΔH_f (0 K): -11.13 kcal/mol of atoms
N(E_F): 3.06 states/eV/f.u.

GdThGaAu | PBE | relaxed

Unit cell a=7.369 b=7.369 c=7.369 alpha=90.00 beta=90.00 gamma=90.00
Space group F-43m (No. 216)
One atom of each set of equivalent atoms:
Gd  0.000  0.000  0.000 (multiplicity 4)
Th  0.000  0.000  0.500 (multiplicity 4)
Ga  0.250  0.250  0.250 (multiplicity 4)
Au  0.250  0.250  0.750 (multiplicity 4)

theoretical density: 10.888 Mg/m³
ΔH_f (0 K): -13.01 kcal/mol of atoms
N(E_F): 2.47 states/eV/f.u.

GdYGaAu | PBE | relaxed

Unit cell a=7.251 b=7.251 c=7.251 alpha=90.00 beta=90.00 gamma=90.00
Space group F-43m (No. 216)
One atom of each set of equivalent atoms:
Gd  0.000  0.000  0.000 (multiplicity 4)
Y  0.000  0.000  0.500 (multiplicity 4)
Ga  0.250  0.250  0.250 (multiplicity 4)
Au  0.250  0.250  0.750 (multiplicity 4)

theoretical density: 8.937 Mg/m³
ΔH_f (0 K): -16.14 kcal/mol of atoms
N(E_F): 3.69 states/eV/f.u.

GdZnGaAu | PBE | relaxed

Unit cell a=6.836 b=6.836 c=6.836 alpha=90.00 beta=90.00 gamma=90.00
Space group F-43m (No. 216)
One atom of each set of equivalent atoms:
Gd  0.000  0.000  0.000 (multiplicity 4)
Zn  0.250  0.250  0.750 (multiplicity 4)
Ga  0.000  0.000  0.500 (multiplicity 4)
Au  0.250  0.250  0.250 (multiplicity 4)

theoretical density: 10.175 Mg/m³
ΔH_f (0 K): -11.40 kcal/mol of atoms
N(E_F): 1.95 states/eV/f.u.

GaGeAu | PBE | relaxed

Unit cell a=4.448 b=7.704 c=7.704 alpha=90.00 beta=90.00 gamma=90.00
Space group Cmc2_1 (No. 36)
One atom of each set of equivalent atoms:
Ga  0.000  0.166  0.000 (multiplicity 4)
Ge  0.000  0.167  0.327 (multiplicity 4)
Au  0.000  0.500  0.408 (multiplicity 4)

theoretical density: 8.539 Mg/m³
ΔH_f (0 K): -1.77 kcal/mol of atoms
N(E_F): 0.86 states/eV/f.u.

GaGeAu | PBE | relaxed

Unit cell a=3.353 b=4.907 c=7.485 alpha=104.83 beta=90.18 gamma=90.65
Space group P1 (No. 1)
One atom of each set of equivalent atoms:
Ga  0.000  0.000  0.000 (multiplicity 1)
Ga  0.005  0.992  0.567 (multiplicity 1)
Ge  0.500  0.564  0.603 (multiplicity 1)
Ge  0.507  0.575  0.161 (multiplicity 1)
Au  0.002  0.442  0.861 (multiplicity 1)
Au  0.503  0.131  0.309 (multiplicity 1)

theoretical density: 9.467 Mg/m³
ΔH_f (0 K): 0.36 kcal/mol of atoms
N(E_F): 1.05 states/eV/f.u.

GaGeAu | PBE | relaxed

Unit cell a=4.7981 b=4.7981 c=5.6939 alpha=90.00 beta=90.00 gamma=120.00
Space group P6_3/mmc (No. 194)
One atom of each set of equivalent atoms:
Ga  0.3333  0.6667  0.2500 (multiplicity 2)
Ge  0.3333  0.6667  0.7500 (multiplicity 2)
Au  0.0000  0.0000  0.0000 (multiplicity 2)

theoretical density: 9.927 Mg/m³
ΔH_f (0 K): 4.84 kcal/mol of atoms
N(E_F): 1.63 states/eV/f.u.

GaGe2Au8 | PBE | relaxed

Unit cell a=4.115 b=6.412 c=8.326 alpha=107.28 beta=90.24 gamma=90.15
Space group P-1 (No. 2)
One atom of each set of equivalent atoms:
Ga  0.000  0.000  0.000 (multiplicity 1)
Ge  0.495  0.329  0.620 (multiplicity 2)
Au  0.002  0.448  0.176 (multiplicity 2)
Au  0.004  0.920  0.323 (multiplicity 2)
Au  0.496  0.782  0.704 (multiplicity 2)
Au  0.499  0.247  0.938 (multiplicity 2)

theoretical density: 14.177 Mg/m³
ΔH_f (0 K): -0.29 kcal/mol of atoms
N(E_F): 2.91 states/eV/f.u.

GaGeAu | PBE | relaxed

Unit cell a=4.200 b=4.249 c=6.947 alpha=89.23 beta=89.20 gamma=72.15
Space group P-1 (No. 2)
One atom of each set of equivalent atoms:
Ga  0.143  0.142  0.364 (multiplicity 2)
Ge  0.363  0.364  0.865 (multiplicity 2)
Au  0.000  0.000  0.000 (multiplicity 1)
Au  0.500  0.500  0.500 (multiplicity 1)

theoretical density: 9.552 Mg/m³
ΔH_f (0 K): -0.46 kcal/mol of atoms
N(E_F): 1.04 states/eV/f.u.

GaGeAu | PBE | relaxed

Unit cell a=5.855 b=3.292 c=6.392 alpha=90.00 beta=92.53 gamma=90.00
Space group P2/m (No. 10)
One atom of each set of equivalent atoms:
Ga  0.180  0.000  0.127 (multiplicity 2)
Ge  0.332  0.500  0.621 (multiplicity 2)
Au  0.000  0.000  0.500 (multiplicity 1)
Au  0.500  0.500  0.000 (multiplicity 1)

theoretical density: 9.155 Mg/m³
ΔH_f (0 K): -0.50 kcal/mol of atoms
N(E_F): 1.19 states/eV/f.u.

Ga2GeAu6 | PBE | relaxed

Unit cell a=11.832 b=4.755 c=7.645 alpha=90.00 beta=127.92 gamma=90.00
Space group C2/m (No. 12)
One atom of each set of equivalent atoms:
Ga  0.136  0.000  0.467 (multiplicity 4)
Ge  0.000  0.000  0.000 (multiplicity 2)
Au  0.015  0.500  0.824 (multiplicity 4)
Au  0.170  0.000  0.850 (multiplicity 4)
Au  0.195  0.500  0.660 (multiplicity 4)

theoretical density: 13.643 Mg/m³
ΔH_f (0 K): -1.15 kcal/mol of atoms
N(E_F): 2.80 states/eV/f.u.